No. 1
Material: ReNiPdPt
Method: DFT, PBE
State: optimized geometry

a b c (Å): 2.7242 2.7242 7.6458
angles (deg): 90.00 90.00 90.00
Element x y z (fractional)
Ni 0.5000 0.5000 0.3312
Pt 0.5000 0.5000 0.8108
Pd 0.0000 0.0000 0.0890
Re 0.0000 0.0000 0.5538

As for the crystal system: tetragonal. For the energy of formation, the calculation gives -0.078 eV/atom.

=====

No. 2
Material: Ni4PdPtRh2
Method: DFT, PBE
State: optimized geometry

a b c (Å): 4.0853 5.0058 11.8009
angles (deg): 90.00 90.00 114.08
Each line ends with the local moment (μB).
Element x y z (fractional)
Rh 0.2656 0.5313 0.5718  0.76
Rh 0.7344 0.4687 0.4282  0.76
Rh 0.2656 0.5313 0.9282  0.76
Rh 0.7344 0.4687 0.0718  0.76
Ni 0.5698 0.1397 0.5943  0.83
Ni 0.5698 0.1397 0.9057  0.83
Ni 0.4302 0.8603 0.4057  0.83
Ni 0.0000 0.0000 0.5000  0.84
Ni 0.5948 0.1896 0.2500  0.67
Ni 0.0000 0.0000 0.0000  0.84
Ni 0.4052 0.8104 0.7500  0.67
Ni 0.4302 0.8603 0.0943  0.83
Pt 0.2387 0.4773 0.2500  0.27
Pt 0.7613 0.5227 0.7500  0.27
Pd 0.9370 0.8740 0.2500  0.20
Pd 0.0630 0.1260 0.7500  0.20

As for the crystal system: orthorhombic. For the energy of formation, the calculation gives 0.226 eV/atom.

=====

No. 3
Material: Ni7Sb2Pd2Pt
Method: DFT, PBE
State: optimized geometry

a b c (Å): 3.5191 3.5191 14.3644
angles (deg): 82.86 82.86 90.01
Each line ends with the local moment (μB).
Element x y z (fractional)
Ni 0.5000 0.5000 0.0000  0.48
Ni 0.2683 0.2683 0.4607  0.00
Ni 0.7317 0.7317 0.5393  0.00
Ni 0.9332 0.4334 0.1318  0.65
Ni 0.5666 0.0668 0.8682  0.65
Ni 0.4334 0.9332 0.1318  0.65
Ni 0.0668 0.5666 0.8682  0.65
Pd 0.3622 0.3622 0.2704  0.04
Pd 0.6378 0.6378 0.7296  0.04
Sb 0.8149 0.8149 0.3643  0.00
Sb 0.1851 0.1851 0.6357  0.00
Pt 0.0000 0.0000 0.0000  0.36

As for the crystal system: monoclinic. For the raw formation energy, the calculation gives 0.10 eV per formula unit.

=====

No. 4
Material: NiSb2Pd2Pt7
Method: DFT, PBE
State: optimized geometry

a b c (Å): 3.9763 3.9763 13.8330
angles (deg): 72.86 72.86 88.70
Each line ends with the local moment (μB).
Element x y z (fractional)
Pt 0.1511 0.6509 0.8493  0.08
Pt 0.7543 0.7543 0.5005  0.00
Pt 0.2457 0.2457 0.4995  0.00
Pt 0.3491 0.8489 0.1507  0.08
Pt 0.6509 0.1511 0.8493  0.08
Pt 0.5000 0.5000 0.0000  0.18
Pt 0.8489 0.3491 0.1507  0.08
Sb 0.3150 0.3150 0.6849  0.00
Sb 0.6850 0.6850 0.3151  0.00
Pd 0.1859 0.1859 0.3132  0.01
Pd 0.8141 0.8141 0.6868  0.01
Ni 0.0000 0.0000 0.0000  0.56

As for the crystal system: monoclinic. For the raw formation energy, the calculation gives -1.95 eV per formula unit.

=====

No. 5
Material: NiSbPdPt
Method: DFT, PBE
State: optimized geometry

a b c (Å): 4.4783 4.4783 4.4783
angles (deg): 60.00 60.00 60.00
Element x y z (fractional)
Pd 0.2500 0.2500 0.2500
Ni 0.0000 0.0000 0.0000
Sb 0.5000 0.5000 0.5000
Pt 0.7500 0.7500 0.7500

As for the crystal system: cubic. For the raw formation energy, the calculation gives -0.74 eV per formula unit.

=====

No. 6
Material: Ni2PdPtSe8
Method: DFT, PBE
State: optimized geometry

a b c (Å): 7.5737 7.5737 7.5737
angles (deg): 105.62 105.62 117.48
Element x y z (fractional)
Pt 0.2500 0.7500 0.5000
Se 0.6625 0.0151 0.6473
Se 0.2670 0.4125 0.1456
Se 0.9849 0.3375 0.3527
Se 0.8786 0.7330 0.1456
Se 0.9849 0.6322 0.6473
Se 0.2670 0.1214 0.8544
Se 0.3678 0.0151 0.3527
Se 0.5875 0.7330 0.8544
Ni 0.5000 0.5000 0.0000
Ni 0.7500 0.2500 0.5000
Pd 0.0000 0.0000 0.0000

As for the crystal system: tetragonal. For the raw formation energy, the calculation gives 1.82 eV per formula unit.

=====

No. 7
Material: NiPd2PtSe6
Method: DFT, PBE
State: optimized geometry

a b c (Å): 6.7162 9.0936 9.0936
angles (deg): 88.86 65.00 65.00
Element x y z (fractional)
Se 0.2130 0.9505 0.7996
Se 0.3818 0.4513 0.3242
Se 0.2870 0.2004 0.0495
Se 0.1715 0.6661 0.0675
Se 0.7130 0.7996 0.9505
Se 0.6182 0.5487 0.6758
Se 0.1182 0.6758 0.5487
Se 0.3285 0.9325 0.3339
Se 0.7870 0.0495 0.2004
Se 0.6715 0.0675 0.6661
Se 0.8818 0.3242 0.4513
Se 0.8285 0.3339 0.9325
Pd 0.4680 0.7370 0.5072
Pd 0.9680 0.5072 0.7370
Pd 0.5320 0.2630 0.4928
Pd 0.0320 0.4928 0.2630
Pt 0.7500 0.0766 0.9234
Pt 0.2500 0.9234 0.0766
Ni 0.2500 0.1943 0.8057
Ni 0.7500 0.8057 0.1943

As for the crystal system: monoclinic. For the raw formation energy, the calculation gives -1.16 eV per formula unit.

=====

No. 8
Material: NiPdPtSe2
Method: DFT, PBE
State: optimized geometry

a b c (Å): 4.7618 5.0304 4.7618
angles (deg): 90.00 90.00 90.00
Each line ends with the local moment (μB).
Element x y z (fractional)
Ni 0.5000 0.5000 0.5000  1.06
Pt 0.0000 0.5000 0.0000  0.18
Pd 0.0000 0.0000 0.0000  0.04
Se 0.0000 0.0000 0.5000  0.07
Se 0.5000 0.0000 0.0000  0.10

As for the crystal system: tetragonal. For the raw formation energy, the calculation gives 5.24 eV per formula unit.

=====

No. 9
Material: NiPd2PtSe8
Method: DFT, PBE
State: optimized geometry

a b c (Å): 7.8955 7.8955 7.8955
angles (deg): 104.83 104.83 119.21
Element x y z (fractional)
Se 0.2362 0.3726 0.1364
Se 0.0025 0.6481 0.6456
Se 0.3519 0.9975 0.3544
Se 0.6274 0.7638 0.8636
Se 0.9002 0.7638 0.1364
Se 0.6431 0.9975 0.6456
Se 0.0025 0.3569 0.3544
Se 0.2362 0.0998 0.8636
Pt 0.2500 0.7500 0.5000
Pd 0.7500 0.2500 0.5000
Pd 0.5000 0.5000 0.0000
Ni 0.0000 0.0000 0.0000

As for the crystal system: tetragonal. For the raw formation energy, the calculation gives 1.89 eV per formula unit.

=====

No. 10
Material: NiSnPdPt
Method: DFT, PBE
State: optimized geometry

a b c (Å): 4.4608 4.4608 4.4608
angles (deg): 60.00 60.00 60.00
Element x y z (fractional)
Pt 0.5000 0.5000 0.5000
Pd 0.0000 0.0000 0.0000
Sn 0.2500 0.2500 0.2500
Ni 0.7500 0.7500 0.7500

Its distance to the lowest polymorph of the same formula is 0.019 eV per atom. As for the crystal system: cubic. For the energy of formation, the calculation gives -0.306 eV/atom.

=====

No. 11
Material: NiSnPdPt
Method: DFT, PBE
State: optimized geometry

a b c (Å): 4.0815 4.0815 7.4701
angles (deg): 90.00 90.00 90.00
Element x y z (fractional)
Sn 0.5000 0.0000 0.2597
Sn 0.0000 0.5000 0.7403
Pt 0.0000 0.5000 0.2767
Pt 0.5000 0.0000 0.7233
Ni 0.5000 0.5000 0.5000
Ni 0.0000 0.0000 0.5000
Pd 0.5000 0.5000 0.0000
Pd 0.0000 0.0000 0.0000

Its distance to the lowest polymorph of the same formula is 0.000 eV per atom. As for the crystal system: tetragonal. For the energy of formation, the calculation gives -0.326 eV/atom.

=====

No. 12
Material: TaNiPdPt2
Method: DFT, PBE
State: optimized geometry

a b c (Å): 2.7540 8.9007 6.8347
angles (deg): 90.00 90.00 98.90
Each line ends with the local moment (μB).
Element x y z (fractional)
Ni 0.4073 0.8147 0.7500  0.21
Ni 0.5927 0.1853 0.2500  0.21
Pt 0.1499 0.2999 0.5472  0.01
Pt 0.8501 0.7001 0.0472  0.01
Pt 0.8501 0.7001 0.4528  0.01
Pt 0.1499 0.2999 0.9528  0.01
Ta 0.2388 0.4775 0.2500  0.00
Ta 0.7612 0.5225 0.7500  0.00
Pd 0.0000 0.0000 0.0000  0.03
Pd 0.0000 0.0000 0.5000  0.03

As for the crystal system: orthorhombic. For the energy of formation, the calculation gives -0.170 eV/atom.

=====

No. 13
Material: TaNi2Pd2Pt
Method: DFT, PBE
State: optimized geometry

a b c (Å): 5.4205 4.9526 6.6093
angles (deg): 97.71 90.00 90.00
Element x y z (fractional)
Pd 0.9983 0.1915 0.1983
Pd 0.5017 0.1915 0.1983
Pd 0.0017 0.8085 0.8017
Pd 0.4983 0.8085 0.8017
Ni 0.7500 0.0021 0.4963
Ni 0.7500 0.4987 0.5011
Ni 0.2500 0.9979 0.5037
Ni 0.2500 0.5013 0.4989
Ta 0.2500 0.7000 0.1769
Ta 0.7500 0.3000 0.8231
Pt 0.7500 0.6827 0.1446
Pt 0.2500 0.3173 0.8554

As for the crystal system: monoclinic. For the energy of formation, the calculation gives -0.207 eV/atom.

=====

No. 14
Material: TiNiPd2Pt2
Method: DFT, PBE
State: optimized geometry

a b c (Å): 3.8257 5.5573 8.2878
angles (deg): 90.00 90.00 90.00
Element x y z (fractional)
Ti 0.5000 0.6356 0.3351
Ti 0.5000 0.1356 0.6649
Pd 0.5000 0.1319 0.9953
Pd 0.5000 0.6319 0.0047
Pd 0.0000 0.3822 0.1788
Pd 0.0000 0.8822 0.8212
Pt 0.0000 0.8781 0.1828
Pt 0.0000 0.3781 0.8172
Pt 0.5000 0.1341 0.3558
Pt 0.5000 0.6341 0.6442
Ni 0.0000 0.8837 0.4996
Ni 0.0000 0.3837 0.5004

As for the crystal system: orthorhombic. For the energy of formation, the calculation gives -0.542 eV/atom.

=====

No. 15
Material: TiNiPdPt
Method: DFT, PBE
State: optimized geometry

a b c (Å): 4.3383 4.3383 4.3383
angles (deg): 60.00 60.00 60.00
Element x y z (fractional)
Ti 0.2500 0.2500 0.2500
Ni 0.7500 0.7500 0.7500
Pd 0.0000 0.0000 0.0000
Pt 0.5000 0.5000 0.5000

Its distance to the lowest polymorph of the same formula is 0.096 eV per atom. As for the crystal system: cubic. For the energy of formation, the calculation gives -0.526 eV/atom.

=====

No. 16
Material: Ti2NiPdPt5
Method: DFT, PBE
State: optimized geometry

a b c (Å): 7.3547 7.3547 7.5592
angles (deg): 119.11 119.11 90.00
Each line ends with the local moment (μB).
Element x y z (fractional)
Pt 0.0786 0.5786 0.7348  0.02
Pt 0.1562 0.0786 0.7348  0.02
Pt 0.0000 0.0000 0.0000  0.04
Pt 0.6562 0.1562 0.7348  0.02
Pt 0.9214 0.4214 0.2652  0.02
Pt 0.4214 0.3438 0.2652  0.02
Pt 0.5000 0.5000 0.0000  0.04
Pt 0.3438 0.8438 0.2652  0.02
Pt 0.8438 0.9214 0.2652  0.02
Pt 0.5786 0.6562 0.7348  0.02
Ti 0.3859 0.8859 0.0000  0.01
Ti 0.8859 0.6141 0.0000  0.01
Ti 0.6141 0.1141 0.0000  0.01
Ti 0.1141 0.3859 0.0000  0.01
Ni 0.7500 0.7500 0.5000  0.46
Ni 0.2500 0.2500 0.5000  0.46
Pd 0.7500 0.2500 0.5000  -0.01
Pd 0.2500 0.7500 0.5000  -0.01

As for the crystal system: tetragonal. For the energy of formation, the calculation gives -0.083 eV/atom.

=====

No. 17
Material: TiNiPdPt
Method: DFT, PBE
State: optimized geometry

a b c (Å): 3.8100 3.8134 4.7639
angles (deg): 113.59 113.57 90.00
Element x y z (fractional)
Ni 0.3696 0.8696 0.7391
Pt 0.1197 0.1197 0.2395
Ti 0.6199 0.6199 0.2399
Pd 0.8699 0.3699 0.7398

Its distance to the lowest polymorph of the same formula is 0.000 eV per atom. As for the crystal system: tetragonal. For the energy of formation, the calculation gives -0.622 eV/atom.

=====

No. 18
Material: TlNiPdPt
Method: DFT, PBE
State: optimized geometry

a b c (Å): 4.5085 4.5085 4.5085
angles (deg): 60.00 60.00 60.00
Each line ends with the local moment (μB).
Element x y z (fractional)
Pd 0.2500 0.2500 0.2500  0.00
Tl 0.0000 0.0000 0.0000  0.00
Pt 0.7500 0.7500 0.7500  0.00
Ni 0.5000 0.5000 0.5000  0.17

As for the crystal system: cubic. For the energy of formation, the calculation gives 0.028 eV/atom.

=====

No. 19
Material: TmNiPdPt
Method: DFT, PBE
State: optimized geometry

a b c (Å): 4.5638 4.5638 4.5638
angles (deg): 60.00 60.00 60.00
Each line ends with the local moment (μB).
Element x y z (fractional)
Pt 0.7500 0.7500 0.7500  0.01
Pd 0.2500 0.2500 0.2500  0.01
Ni 0.5000 0.5000 0.5000  0.22
Tm 0.0000 0.0000 0.0000  0.01

As for the crystal system: cubic. For the energy of formation, the calculation gives -0.610 eV/atom.

=====

No. 20
Material: UNiPdPt
Method: DFT, PBE
State: optimized geometry

a b c (Å): 4.6006 4.6006 4.6006
angles (deg): 60.00 60.00 60.00
Each line ends with the local moment (μB).
Element x y z (fractional)
Pt 0.7500 0.7500 0.7500  -0.06
U 0.0000 0.0000 0.0000  1.61
Pd 0.5000 0.5000 0.5000  0.03
Ni 0.2500 0.2500 0.2500  -0.20

As for the crystal system: cubic. For the energy of formation, the calculation gives -0.323 eV/atom.

=====

Short version: total DFT energy (no corrections) = -7.4441 -5.9069 -5.4203 -5.7206 -5.4694 -4.0708 -4.4273 -3.7490 -4.0161 -5.5608 -5.5800 -7.1520 -6.8474 -6.5657 -6.7534 -6.4131 -6.8491 -4.8173 -5.9814 -7.3987 eV/atom, in the order given.
Short version: volume = 57 220 175 199 64 329 448 114 371 63 124 166 176 176 58 297 57 65 67 69 Å³/cell, in the order given.